Crystalline LaPrP at its relaxed geometry. Source: Alexandria via LeMat-Bulk, functional PBE.

## Properties
E above lowest polymorph (meV/atom): 0
Energy of formation from the pure elements (eV per atom): -0.964
V (Å³/cell): 199.4

a b c (Å): 7.1085 4.1073 7.2261
angles (deg): 90.00 109.11 90.00
With the nearest neighbours (Å) after each atom.
Sites, in units of the cell vectors:
La1 0.0020 0.2500 0.2575  3 P 2.89
La2 0.9980 0.7500 0.7425  3 P 2.89
Pr1 0.4955 0.2500 0.7395  3 P 2.88
Pr2 0.5045 0.7500 0.2606  3 P 2.88
P1 0.2504 0.7500 0.4993  3 Pr 2.88, 3 La 2.89
P2 0.7496 0.2500 0.5007  3 Pr 2.88, 3 La 2.89